1.
DFT (PBE-GGA) results for a geometry-optimized BaLaHoO4 structure.

The value obtained for the uncorrected energy is -7.542 eV per atom. As for the space-group type: No. 63. As for the density of states at the Fermi level: 0.000 states/eV per atom. Its calculated density is 6.754 g/cm3.

Cell lengths 6.137, 6.244, 7.172 Å; angles 90.00, 115.33, 90.00 degrees
Sites, in units of the cell vectors:
Ba  0.604  0.750  0.209
Ba  0.396  0.250  0.791
O  0.056  0.750  0.112
O  0.000  0.500  0.500
O  0.944  0.250  0.888
O  0.584  0.250  0.169
O  0.500  0.500  0.500
O  0.000  0.000  0.500
O  0.500  0.000  0.500
O  0.416  0.750  0.831
La  0.112  0.250  0.223
La  0.888  0.750  0.777
Ho  0.750  0.250  0.501
Ho  0.250  0.750  0.499

---

2.
DFT (PBE-GGA) results for a geometry-optimized BaLaHo4S8 structure.

The value obtained for the uncorrected energy is -6.132 eV per atom. As for the space-group type: No. 160. As for the density of states at the Fermi level: 0.290 states/eV per atom. Its calculated density is 4.921 g/cm3.

Cell lengths 8.209, 8.209, 8.366 Å; angles 60.62, 60.62, 60.00 degrees
Sites, in units of the cell vectors:
Ho  0.625  0.625  0.124
Ho  0.002  0.495  0.501
Ho  0.495  0.002  0.501
Ho  0.002  0.002  0.501
S  0.233  0.749  0.269
S  0.757  0.757  0.729
S  0.231  0.231  0.306
S  0.802  0.240  0.718
S  0.749  0.749  0.269
S  0.749  0.233  0.269
S  0.240  0.240  0.718
S  0.240  0.802  0.718
Ba  0.373  0.373  0.882
La  0.002  0.002  0.995

---

3.
DFT (PBE-GGA) results for a geometry-optimized Ba2LaHoS4 structure.

The value obtained for the uncorrected energy is -5.767 eV per atom. As for the space-group type: No. 10. As for the density of states at the Fermi level: 0.467 states/eV per atom. Its calculated density is 5.349 g/cm3.

Cell lengths 4.207, 7.290, 7.553 Å; angles 108.70, 90.00, 90.00 degrees
Sites, in units of the cell vectors:
Ho  0.000  0.000  0.000
S  0.000  0.249  0.783
S  0.500  0.774  0.789
S  0.000  0.751  0.217
S  0.500  0.226  0.211
La  0.500  0.500  0.000
Ba  0.000  0.500  0.500
Ba  0.500  0.000  0.500

---

4.
DFT (PBE-GGA) results for a geometry-optimized Ba3La3HoTe8 structure.

The value obtained for the uncorrected energy is -4.975 eV per atom. As for the space-group type: No. 166. As for the density of states at the Fermi level: 0.338 states/eV per atom. Its calculated density is 5.549 g/cm3.

Cell lengths 9.296, 9.292, 9.678 Å; angles 118.68, 90.01, 119.98 degrees
Sites, in units of the cell vectors:
Te  0.750  0.984  0.719
Te  0.250  0.016  0.281
Te  0.743  0.486  0.729
Te  0.257  0.514  0.271
Te  0.234  0.469  0.719
Te  0.234  0.984  0.719
Te  0.766  0.016  0.281
Te  0.766  0.531  0.281
Ba  0.000  0.000  0.000
Ba  0.500  0.500  0.000
Ba  0.000  0.500  0.000
La  0.500  0.500  0.500
La  0.500  0.000  0.500
La  0.000  0.500  0.500
Ho  0.000  0.000  0.500